Density functional theory data (PBE) for an optimized crystal structure of TaN2.

Unit cell a=3.0681 b=3.0681 c=7.7776 alpha=90.00 beta=90.00 gamma=120.00
Fractional coordinates of all 6 atoms:
Ta 0.6667 0.3333 0.2500
Ta 0.3333 0.6667 0.7500
N 0.0000 0.0000 0.4095
N 0.0000 0.0000 0.5905
N 0.0000 0.0000 0.9095
N 0.0000 0.0000 0.0905

Formation energy (no corrections) in meV per atom: -457
Symmetry: P6_3/mmc (194)
Density of states at the Fermi level in states/eV/cell: 4.00
Volume in Å³/f.u.: 32